1.
# ScRhS2 | the Alexandria database | GGA-PBE | relaxed
# E above lowest polymorph (eV/atom): 0.135
# Formation energy without anion corrections (meV/atom): -798
# Calculated density (g cm⁻³): 4.3
data_ScRhS2
_chemical_formula_sum 'Sc1 Rh1 S2'
_cell_length_a 7.802
_cell_length_b 7.802
_cell_length_c 7.802
_cell_angle_alpha 26.26
_cell_angle_beta 26.26
_cell_angle_gamma 26.26
_symmetry_space_group_name_H-M 'P 1'
_symmetry_Int_Tables_number 1
loop_
_symmetry_equiv_pos_as_xyz
'x,y,z'
loop_
_atom_site_label
_atom_site_fract_x
_atom_site_fract_y
_atom_site_fract_z
Sc1 0.000 0.000 0.000
Rh1 0.500 0.500 0.500
S1 0.400 0.400 0.400
S2 0.600 0.600 0.600

2.
# ScRhS2 | the Alexandria database | GGA-PBE | relaxed
# E above lowest polymorph (eV/atom): 0.160
# Formation energy without anion corrections (meV/atom): -773
# Calculated density (g cm⁻³): 5.7
data_ScRhS2
_chemical_formula_sum 'Sc1 Rh1 S2'
_cell_length_a 4.444
_cell_length_b 4.444
_cell_length_c 4.444
_cell_angle_alpha 60.00
_cell_angle_beta 60.00
_cell_angle_gamma 60.00
_symmetry_space_group_name_H-M 'P 1'
_symmetry_Int_Tables_number 1
loop_
_symmetry_equiv_pos_as_xyz
'x,y,z'
loop_
_atom_site_label
_atom_site_fract_x
_atom_site_fract_y
_atom_site_fract_z
Sc1 0.000 0.000 0.000
Rh1 0.500 0.500 0.500
S1 0.250 0.250 0.250
S2 0.750 0.750 0.750

3.
# Sc2RhS | the Alexandria database | GGA-PBE | relaxed
# Formation energy without anion corrections (meV/atom): -1168
# Calculated density (g cm⁻³): 5.0
data_Sc2RhS
_chemical_formula_sum 'Sc2 Rh1 S1'
_cell_length_a 3.603
_cell_length_b 3.603
_cell_length_c 7.027
_cell_angle_alpha 104.96
_cell_angle_beta 104.96
_cell_angle_gamma 59.90
_symmetry_space_group_name_H-M 'P 1'
_symmetry_Int_Tables_number 1
loop_
_symmetry_equiv_pos_as_xyz
'x,y,z'
loop_
_atom_site_label
_atom_site_fract_x
_atom_site_fract_y
_atom_site_fract_z
Sc1 0.000 0.000 0.000
Sc2 0.172 0.172 0.515
Rh1 0.585 0.585 0.754
S1 0.419 0.419 0.257

4.
# SrScRh2S | the Alexandria database | GGA-PBE | relaxed
# Formation energy without anion corrections (meV/atom): -419
# Calculated density (g cm⁻³): 6.0
data_SrScRh2S
_chemical_formula_sum 'Sr1 Sc1 Rh2 S1'
_cell_length_a 4.673
_cell_length_b 4.673
_cell_length_c 4.709
_cell_angle_alpha 90.00
_cell_angle_beta 90.00
_cell_angle_gamma 90.00
_symmetry_space_group_name_H-M 'P 1'
_symmetry_Int_Tables_number 1
loop_
_symmetry_equiv_pos_as_xyz
'x,y,z'
loop_
_atom_site_label
_atom_site_fract_x
_atom_site_fract_y
_atom_site_fract_z
Sr1 0.000 0.000 0.000
Sc1 0.500 0.500 0.000
Rh1 0.000 0.500 0.500
Rh2 0.500 0.000 0.500
S1 0.500 0.500 0.500

5.
# Sc2TlRhS | the Alexandria database | GGA-PBE | relaxed
# Formation energy without anion corrections (meV/atom): -655
# Calculated density (g cm⁻³): 6.9
data_Sc2TlRhS
_chemical_formula_sum 'Sc2 Tl1 Rh1 S1'
_cell_length_a 4.815
_cell_length_b 4.815
_cell_length_c 4.486
_cell_angle_alpha 90.00
_cell_angle_beta 90.00
_cell_angle_gamma 90.00
_symmetry_space_group_name_H-M 'P 1'
_symmetry_Int_Tables_number 1
loop_
_symmetry_equiv_pos_as_xyz
'x,y,z'
loop_
_atom_site_label
_atom_site_fract_x
_atom_site_fract_y
_atom_site_fract_z
Sc1 0.000 0.500 0.000
Sc2 0.500 0.000 0.000
Tl1 0.000 0.000 0.500
Rh1 0.500 0.500 0.500
S1 0.500 0.500 0.000

6.
# RhSeS2 | the Alexandria database | GGA-PBE | relaxed
# Formation energy without anion corrections (meV/atom): -172
# Calculated density (g cm⁻³): 5.1
data_RhSeS2
_chemical_formula_sum 'Rh1 Se1 S2'
_cell_length_a 7.593
_cell_length_b 7.593
_cell_length_c 7.593
_cell_angle_alpha 27.07
_cell_angle_beta 27.07
_cell_angle_gamma 27.07
_symmetry_space_group_name_H-M 'P 1'
_symmetry_Int_Tables_number 1
loop_
_symmetry_equiv_pos_as_xyz
'x,y,z'
loop_
_atom_site_label
_atom_site_fract_x
_atom_site_fract_y
_atom_site_fract_z
Rh1 0.000 0.000 0.000
Se1 0.500 0.500 0.500
S1 0.388 0.388 0.388
S2 0.612 0.612 0.612

7.
# RhSeS | the Alexandria database | GGA-PBE | relaxed
# E above lowest polymorph (eV/atom): 0.000
# Formation energy without anion corrections (meV/atom): -370
# Calculated density (g cm⁻³): 6.6
data_RhSeS
_chemical_formula_sum 'Rh4 Se4 S4'
_cell_length_a 6.180
_cell_length_b 5.866
_cell_length_c 6.179
_cell_angle_alpha 90.00
_cell_angle_beta 104.60
_cell_angle_gamma 90.00
_symmetry_space_group_name_H-M 'P 1'
_symmetry_Int_Tables_number 1
loop_
_symmetry_equiv_pos_as_xyz
'x,y,z'
loop_
_atom_site_label
_atom_site_fract_x
_atom_site_fract_y
_atom_site_fract_z
Rh1 0.237 0.009 0.242
Rh2 0.237 0.491 0.742
Rh3 0.763 0.509 0.258
Rh4 0.763 0.991 0.758
Se1 0.351 0.621 0.145
Se2 0.351 0.879 0.645
Se3 0.649 0.121 0.355
Se4 0.649 0.379 0.855
S1 0.143 0.122 0.853
S2 0.143 0.378 0.353
S3 0.857 0.622 0.647
S4 0.857 0.878 0.147

8.
# Rh3SeS | the Alexandria database | GGA-PBE | relaxed
# E above lowest polymorph (eV/atom): 0.505
# Formation energy without anion corrections (meV/atom): 800
# Calculated density (g cm⁻³): 7.3
data_Rh3SeS
_chemical_formula_sum 'Rh3 Se1 S1'
_cell_length_a 4.578
_cell_length_b 4.578
_cell_length_c 4.578
_cell_angle_alpha 90.00
_cell_angle_beta 90.00
_cell_angle_gamma 90.00
_symmetry_space_group_name_H-M 'P 1'
_symmetry_Int_Tables_number 1
loop_
_symmetry_equiv_pos_as_xyz
'x,y,z'
loop_
_atom_site_label
_atom_site_fract_x
_atom_site_fract_y
_atom_site_fract_z
Rh1 0.000 0.000 0.500
Rh2 0.000 0.500 0.000
Rh3 0.500 0.000 0.000
Se1 0.000 0.000 0.000
S1 0.500 0.500 0.500